The following is a DFT calculation (PBE) of a relaxed structure of AlZn2Pb.

Calculated values
Total DFT energy (no corrections) in eV/atom: -2.2491
Offset from the most stable computed form in meV/atom: 110
Magnetization in μB per formula unit: 0.000
ΔE_f in eV/atom: 0.251

```
data_AlZn2Pb
_chemical_formula_sum 'Al4 Zn8 Pb4'
_space_group_name_H-M_alt 'F m -3 m'
_space_group_IT_number 225
_space_group_name_Hall '-F 4 2 3'
_cell_length_a 6.941
_cell_length_b 6.941
_cell_length_c 6.941
_cell_angle_alpha 90.00
_cell_angle_beta 90.00
_cell_angle_gamma 90.00
loop_
_atom_site_label
_atom_site_type_symbol
_atom_site_fract_x
_atom_site_fract_y
_atom_site_fract_z
_atom_site_occupancy
Al1 Al 0.000 0.000 0.000 1
Zn1 Zn 0.250 0.250 0.250 1
Pb1 Pb 0.000 0.000 0.500 1
```